(1)
{
  "formula": "NdThCoAu",
  "functional": "PBE",
  "state": "optimized geometry",
  "space_group": "F-43m, No. 216",
  "vol_a3_per_cell": 375.9,
  "e_form_ev_per_atom": -0.271,
  "lattice_angstrom": [[7.2172, 0.0000, 0.0000], [0.0000, 7.2172, 0.0000], [0.0000, 0.0000, 7.2172]],
  "species": ["Nd", "Nd", "Nd", "Nd", "Th", "Th", "Th", "Th", "Co", "Co", "Co", "Co", "Au", "Au", "Au", "Au"],
  "fractional_positions": [[0.0000, 0.0000, 0.0000], [0.0000, 0.5000, 0.5000], [0.5000, 0.0000, 0.5000], [0.5000, 0.5000, 0.0000], [0.0000, 0.0000, 0.5000], [0.0000, 0.5000, 0.0000], [0.5000, 0.0000, 0.0000], [0.5000, 0.5000, 0.5000], [0.2500, 0.2500, 0.2500], [0.2500, 0.7500, 0.7500], [0.7500, 0.2500, 0.7500], [0.7500, 0.7500, 0.2500], [0.2500, 0.2500, 0.7500], [0.2500, 0.7500, 0.2500], [0.7500, 0.2500, 0.2500], [0.7500, 0.7500, 0.7500]]
}

(2)
{
  "formula": "NdYCoAu",
  "functional": "PBE",
  "state": "optimized geometry",
  "space_group": "F-43m, No. 216",
  "vol_a3_per_cell": 360.2,
  "e_form_ev_per_atom": -0.359,
  "lattice_angstrom": [[7.1154, 0.0000, 0.0000], [0.0000, 7.1154, 0.0000], [0.0000, 0.0000, 7.1154]],
  "species": ["Nd", "Nd", "Nd", "Nd", "Y", "Y", "Y", "Y", "Co", "Co", "Co", "Co", "Au", "Au", "Au", "Au"],
  "fractional_positions": [[0.0000, 0.0000, 0.0000], [0.0000, 0.5000, 0.5000], [0.5000, 0.0000, 0.5000], [0.5000, 0.5000, 0.0000], [0.0000, 0.0000, 0.5000], [0.0000, 0.5000, 0.0000], [0.5000, 0.0000, 0.0000], [0.5000, 0.5000, 0.5000], [0.2500, 0.2500, 0.7500], [0.2500, 0.7500, 0.2500], [0.7500, 0.2500, 0.2500], [0.7500, 0.7500, 0.7500], [0.2500, 0.2500, 0.2500], [0.2500, 0.7500, 0.7500], [0.7500, 0.2500, 0.7500], [0.7500, 0.7500, 0.2500]]
}

(3)
{
  "formula": "Co2NiAu",
  "functional": "PBE",
  "state": "optimized geometry",
  "space_group": "Pm, No. 6",
  "vol_a3_per_cell": 51.4,
  "e_above_lowest_polymorph_mev_per_atom": 4,
  "e_form_ev_per_atom": 0.137,
  "lattice_angstrom": [[2.6952, 0.0000, 0.0000], [0.0000, 3.4332, 0.0000], [-0.0135, 0.0000, 5.5538]],
  "species": ["Co", "Co", "Ni", "Au"],
  "fractional_positions": [[0.0000, 0.0000, 0.0000], [0.4980, 0.5000, 0.2054], [0.9985, 0.0000, 0.4305], [0.4989, 0.5000, 0.7103]]
}

(4)
{
  "formula": "CoNiAu",
  "functional": "PBE",
  "state": "optimized geometry",
  "space_group": "P2_1/m, No. 11",
  "vol_a3_per_cell": 80.8,
  "e_above_lowest_polymorph_mev_per_atom": 0,
  "e_form_ev_per_atom": 0.132,
  "lattice_angstrom": [[2.7357, 0.0000, 0.0000], [0.0000, 4.0811, 0.0000], [-0.0040, 0.0000, 7.2388]],
  "species": ["Co", "Co", "Ni", "Ni", "Au", "Au"],
  "fractional_positions": [[0.2497, 0.2500, 0.0440], [0.7503, 0.7500, 0.9560], [0.2511, 0.7500, 0.2338], [0.7489, 0.2500, 0.7662], [0.2492, 0.7500, 0.6176], [0.7508, 0.2500, 0.3824]]
}

(5)
{
  "formula": "CoNi2Au",
  "functional": "PBE",
  "state": "optimized geometry",
  "space_group": "P4mm, No. 99",
  "vol_a3_per_cell": 51.4,
  "e_above_lowest_polymorph_mev_per_atom": 47,
  "e_form_ev_per_atom": 0.146,
  "lattice_angstrom": [[2.7034, 0.0000, 0.0000], [0.0000, 2.7034, 0.0000], [0.0000, 0.0000, 7.0276]],
  "species": ["Co", "Ni", "Ni", "Au"],
  "fractional_positions": [[0.0000, 0.0000, 0.0000], [0.0000, 0.0000, 0.4387], [0.5000, 0.5000, 0.2140], [0.5000, 0.5000, 0.7168]]
}

(6)
{
  "formula": "CoNi2Au",
  "functional": "PBE",
  "state": "optimized geometry",
  "space_group": "Pmmm, No. 47",
  "vol_a3_per_cell": 51.2,
  "e_above_lowest_polymorph_mev_per_atom": 10,
  "e_form_ev_per_atom": 0.109,
  "lattice_angstrom": [[2.6967, 0.0000, 0.0000], [0.0000, 3.4511, 0.0000], [0.0000, 0.0000, 5.5055]],
  "species": ["Co", "Ni", "Ni", "Au"],
  "fractional_positions": [[0.0000, 0.0000, 0.0000], [0.5000, 0.5000, 0.2181], [0.5000, 0.5000, 0.7819], [0.0000, 0.0000, 0.5000]]
}

(7)
{
  "formula": "Co2Ni2Au",
  "functional": "PBE",
  "state": "optimized geometry",
  "space_group": "P4/mbm, No. 127",
  "vol_a3_per_cell": 126.5,
  "e_above_lowest_polymorph_mev_per_atom": 0,
  "e_form_ev_per_atom": 0.187,
  "lattice_angstrom": [[6.9328, 0.0000, 0.0000], [0.0000, 6.9328, 0.0000], [0.0000, 0.0000, 2.6320]],
  "species": ["Co", "Co", "Co", "Co", "Ni", "Ni", "Ni", "Ni", "Au", "Au"],
  "fractional_positions": [[0.1704, 0.3296, 0.0000], [0.3296, 0.8296, 0.0000], [0.6704, 0.1704, 0.0000], [0.8296, 0.6704, 0.0000], [0.1230, 0.6230, 0.5000], [0.3770, 0.1230, 0.5000], [0.6230, 0.8770, 0.5000], [0.8770, 0.3770, 0.5000], [0.0000, 0.0000, 0.5000], [0.5000, 0.5000, 0.5000]]
}

(8)
{
  "formula": "CoNi2Au",
  "functional": "PBE",
  "state": "optimized geometry",
  "space_group": "I4/mmm, No. 139",
  "vol_a3_per_cell": 101.9,
  "e_above_lowest_polymorph_mev_per_atom": 25,
  "e_form_ev_per_atom": 0.124,
  "lattice_angstrom": [[3.7215, 0.0000, 0.0000], [0.0000, 3.7215, 0.0000], [0.0000, 0.0000, 7.3589]],
  "species": ["Co", "Co", "Ni", "Ni", "Ni", "Ni", "Au", "Au"],
  "fractional_positions": [[0.0000, 0.0000, 0.0000], [0.5000, 0.5000, 0.5000], [0.0000, 0.5000, 0.2500], [0.0000, 0.5000, 0.7500], [0.5000, 0.0000, 0.2500], [0.5000, 0.0000, 0.7500], [0.0000, 0.0000, 0.5000], [0.5000, 0.5000, 0.0000]]
}

(9)
{
  "formula": "CoNiAu2",
  "functional": "PBE",
  "state": "optimized geometry",
  "space_group": "Fm-3m, No. 225",
  "vol_a3_per_cell": 233.7,
  "e_above_lowest_polymorph_mev_per_atom": 103,
  "e_form_ev_per_atom": 0.219,
  "lattice_angstrom": [[6.1598, 0.0000, 0.0000], [0.0000, 6.1598, 0.0000], [0.0000, 0.0000, 6.1598]],
  "species": ["Co", "Co", "Co", "Co", "Ni", "Ni", "Ni", "Ni", "Au", "Au", "Au", "Au", "Au", "Au", "Au", "Au"],
  "fractional_positions": [[0.0000, 0.0000, 0.0000], [0.0000, 0.5000, 0.5000], [0.5000, 0.0000, 0.5000], [0.5000, 0.5000, 0.0000], [0.0000, 0.0000, 0.5000], [0.0000, 0.5000, 0.0000], [0.5000, 0.0000, 0.0000], [0.5000, 0.5000, 0.5000], [0.2500, 0.2500, 0.2500], [0.2500, 0.2500, 0.7500], [0.2500, 0.7500, 0.2500], [0.2500, 0.7500, 0.7500], [0.7500, 0.2500, 0.2500], [0.7500, 0.2500, 0.7500], [0.7500, 0.7500, 0.2500], [0.7500, 0.7500, 0.7500]]
}

(10)
{
  "formula": "Co2NiAu",
  "functional": "PBE",
  "state": "optimized geometry",
  "space_group": "I4/mmm, No. 139",
  "vol_a3_per_cell": 102.3,
  "e_above_lowest_polymorph_mev_per_atom": 39,
  "e_form_ev_per_atom": 0.172,
  "lattice_angstrom": [[3.6619, 0.0000, 0.0000], [0.0000, 3.6619, 0.0000], [0.0000, 0.0000, 7.6310]],
  "species": ["Co", "Co", "Co", "Co", "Ni", "Ni", "Au", "Au"],
  "fractional_positions": [[0.0000, 0.5000, 0.2500], [0.0000, 0.5000, 0.7500], [0.5000, 0.0000, 0.2500], [0.5000, 0.0000, 0.7500], [0.0000, 0.0000, 0.0000], [0.5000, 0.5000, 0.5000], [0.0000, 0.0000, 0.5000], [0.5000, 0.5000, 0.0000]]
}

(11)
{
  "formula": "CoNiAu2",
  "functional": "PBE",
  "state": "optimized geometry",
  "space_group": "I-42d, No. 122",
  "vol_a3_per_cell": 259.2,
  "e_above_lowest_polymorph_mev_per_atom": 417,
  "e_form_ev_per_atom": 0.533,
  "lattice_angstrom": [[6.9835, 0.0000, 0.0000], [0.0000, 6.9835, 0.0000], [0.0000, 0.0000, 5.3140]],
  "species": ["Co", "Co", "Co", "Co", "Ni", "Ni", "Ni", "Ni", "Au", "Au", "Au", "Au", "Au", "Au", "Au", "Au"],
  "fractional_positions": [[0.0000, 0.0000, 0.0000], [0.0000, 0.5000, 0.2500], [0.5000, 0.0000, 0.7500], [0.5000, 0.5000, 0.5000], [0.0000, 0.0000, 0.5000], [0.0000, 0.5000, 0.7500], [0.5000, 0.0000, 0.2500], [0.5000, 0.5000, 0.0000], [0.2502, 0.2500, 0.1250], [0.2498, 0.2500, 0.6250], [0.2500, 0.7502, 0.3750], [0.2500, 0.7498, 0.8750], [0.7500, 0.2498, 0.3750], [0.7500, 0.2502, 0.8750], [0.7498, 0.7500, 0.1250], [0.7502, 0.7500, 0.6250]]
}

(12)
{
  "formula": "CoNi2Au",
  "functional": "PBE",
  "state": "optimized geometry",
  "space_group": "Cmmm, No. 65",
  "vol_a3_per_cell": 103.1,
  "e_above_lowest_polymorph_mev_per_atom": 86,
  "e_form_ev_per_atom": 0.185,
  "lattice_angstrom": [[5.2688, 0.0000, 0.0000], [0.0000, 7.2516, 0.0000], [0.0000, 0.0000, 2.6981]],
  "species": ["Co", "Co", "Ni", "Ni", "Ni", "Ni", "Au", "Au"],
  "fractional_positions": [[0.0000, 0.0000, 0.0000], [0.5000, 0.5000, 0.0000], [0.2500, 0.2500, 0.5000], [0.2500, 0.7500, 0.5000], [0.7500, 0.2500, 0.5000], [0.7500, 0.7500, 0.5000], [0.0000, 0.5000, 0.0000], [0.5000, 0.0000, 0.0000]]
}

(13)
{
  "formula": "Co2NiAu",
  "functional": "PBE",
  "state": "optimized geometry",
  "space_group": "Cmmm, No. 65",
  "vol_a3_per_cell": 103.6,
  "e_above_lowest_polymorph_mev_per_atom": 99,
  "e_form_ev_per_atom": 0.233,
  "lattice_angstrom": [[5.1668, 0.0000, 0.0000], [0.0000, 7.4781, 0.0000], [0.0000, 0.0000, 2.6817]],
  "species": ["Co", "Co", "Co", "Co", "Ni", "Ni", "Au", "Au"],
  "fractional_positions": [[0.2500, 0.2500, 0.0000], [0.2500, 0.7500, 0.0000], [0.7500, 0.2500, 0.0000], [0.7500, 0.7500, 0.0000], [0.0000, 0.0000, 0.5000], [0.5000, 0.5000, 0.5000], [0.0000, 0.5000, 0.5000], [0.5000, 0.0000, 0.5000]]
}

(14)
{
  "formula": "Co2NiAu",
  "functional": "PBE",
  "state": "optimized geometry",
  "space_group": "C2/m, No. 12",
  "vol_a3_per_cell": 103.2,
  "e_above_lowest_polymorph_mev_per_atom": 53,
  "e_form_ev_per_atom": 0.187,
  "lattice_angstrom": [[8.6287, 0.0000, 0.0000], [0.0000, 2.6634, 0.0000], [-0.8175, 0.0000, 4.4889]],
  "species": ["Co", "Co", "Co", "Co", "Ni", "Ni", "Au", "Au"],
  "fractional_positions": [[0.2443, 0.0000, 0.2212], [0.2557, 0.5000, 0.7788], [0.7443, 0.5000, 0.2212], [0.7557, 0.0000, 0.7788], [0.0000, 0.5000, 0.0000], [0.5000, 0.0000, 0.0000], [0.0000, 0.0000, 0.5000], [0.5000, 0.5000, 0.5000]]
}

(15)
{
  "formula": "Co2NiAu",
  "functional": "PBE",
  "state": "optimized geometry",
  "space_group": "P4/mmm, No. 123",
  "vol_a3_per_cell": 51.2,
  "e_above_lowest_polymorph_mev_per_atom": 35,
  "e_form_ev_per_atom": 0.168,
  "lattice_angstrom": [[3.6642, 0.0000, 0.0000], [0.0000, 3.6642, 0.0000], [0.0000, 0.0000, 3.8117]],
  "species": ["Co", "Co", "Ni", "Au"],
  "fractional_positions": [[0.0000, 0.5000, 0.0000], [0.5000, 0.0000, 0.0000], [0.0000, 0.0000, 0.5000], [0.5000, 0.5000, 0.5000]]
}

(16)
{
  "formula": "CoNi2Au",
  "functional": "PBE",
  "state": "optimized geometry",
  "space_group": "Cm, No. 8",
  "vol_a3_per_cell": 102.9,
  "e_above_lowest_polymorph_mev_per_atom": 53,
  "e_form_ev_per_atom": 0.152,
  "lattice_angstrom": [[8.5686, 0.0000, 0.0000], [0.0000, 2.6645, 0.0000], [-0.8342, 0.0000, 4.5069]],
  "species": ["Co", "Co", "Ni", "Ni", "Ni", "Ni", "Au", "Au"],
  "fractional_positions": [[0.0000, 0.0000, 0.0000], [0.5000, 0.5000, 0.0000], [0.0125, 0.5000, 0.5535], [0.2577, 0.0000, 0.7867], [0.5125, 0.0000, 0.5535], [0.7577, 0.5000, 0.7867], [0.2565, 0.5000, 0.2834], [0.7565, 0.0000, 0.2834]]
}

(17)
{
  "formula": "CoNi2Au2",
  "functional": "PBE",
  "state": "optimized geometry",
  "space_group": "P4/mbm, No. 127",
  "vol_a3_per_cell": 145.0,
  "e_form_ev_per_atom": 0.289,
  "lattice_angstrom": [[6.0742, 0.0000, 0.0000], [0.0000, 6.0742, 0.0000], [0.0000, 0.0000, 3.9297]],
  "species": ["Co", "Co", "Ni", "Ni", "Ni", "Ni", "Au", "Au", "Au", "Au"],
  "fractional_positions": [[0.0000, 0.0000, 0.0000], [0.5000, 0.5000, 0.0000], [0.1342, 0.3658, 0.0000], [0.3658, 0.8658, 0.0000], [0.6342, 0.1342, 0.0000], [0.8658, 0.6342, 0.0000], [0.1712, 0.6712, 0.5000], [0.3288, 0.1712, 0.5000], [0.6712, 0.8288, 0.5000], [0.8288, 0.3288, 0.5000]]
}

(18)
{
  "formula": "CoNiAu2",
  "functional": "PBE",
  "state": "optimized geometry",
  "space_group": "R3m, No. 160",
  "vol_a3_per_cell": 179.3,
  "e_above_lowest_polymorph_mev_per_atom": 97,
  "e_form_ev_per_atom": 0.213,
  "lattice_angstrom": [[2.7603, 0.0000, 0.0000], [-1.3802, 2.3905, 0.0000], [0.0000, 0.0000, 27.1681]],
  "species": ["Co", "Co", "Co", "Ni", "Ni", "Ni", "Au", "Au", "Au", "Au", "Au", "Au"],
  "fractional_positions": [[0.0000, 0.0000, 0.0000], [0.3333, 0.6667, 0.6667], [0.6667, 0.3333, 0.3333], [0.0000, 0.0000, 0.2656], [0.3333, 0.6667, 0.9323], [0.6667, 0.3333, 0.5989], [0.0000, 0.0000, 0.5159], [0.0000, 0.0000, 0.7502], [0.3333, 0.6667, 0.1826], [0.3333, 0.6667, 0.4168], [0.6667, 0.3333, 0.0835], [0.6667, 0.3333, 0.8492]]
}

(19)
{
  "formula": "CoNi2Au",
  "functional": "PBE",
  "state": "optimized geometry",
  "space_group": "Fm-3m, No. 225",
  "vol_a3_per_cell": 206.6,
  "e_above_lowest_polymorph_mev_per_atom": 111,
  "e_form_ev_per_atom": 0.211,
  "lattice_angstrom": [[5.9120, 0.0000, 0.0000], [0.0000, 5.9120, 0.0000], [0.0000, 0.0000, 5.9120]],
  "species": ["Co", "Co", "Co", "Co", "Ni", "Ni", "Ni", "Ni", "Ni", "Ni", "Ni", "Ni", "Au", "Au", "Au", "Au"],
  "fractional_positions": [[0.0000, 0.0000, 0.0000], [0.0000, 0.5000, 0.5000], [0.5000, 0.0000, 0.5000], [0.5000, 0.5000, 0.0000], [0.2500, 0.2500, 0.2500], [0.2500, 0.2500, 0.7500], [0.2500, 0.7500, 0.2500], [0.2500, 0.7500, 0.7500], [0.7500, 0.2500, 0.2500], [0.7500, 0.2500, 0.7500], [0.7500, 0.7500, 0.2500], [0.7500, 0.7500, 0.7500], [0.0000, 0.0000, 0.5000], [0.0000, 0.5000, 0.0000], [0.5000, 0.0000, 0.0000], [0.5000, 0.5000, 0.5000]]
}

(20)
{
  "formula": "CoNiAu2",
  "functional": "PBE",
  "state": "optimized geometry",
  "space_group": "F222, No. 22",
  "vol_a3_per_cell": 234.7,
  "e_above_lowest_polymorph_mev_per_atom": 81,
  "e_form_ev_per_atom": 0.197,
  "lattice_angstrom": [[5.4074, 0.0000, 0.0000], [0.0000, 5.4272, 0.0000], [0.0000, 0.0000, 7.9962]],
  "species": ["Co", "Co", "Co", "Co", "Ni", "Ni", "Ni", "Ni", "Au", "Au", "Au", "Au", "Au", "Au", "Au", "Au"],
  "fractional_positions": [[0.0000, 0.0000, 0.0000], [0.0000, 0.5000, 0.5000], [0.5000, 0.0000, 0.5000], [0.5000, 0.5000, 0.0000], [0.2500, 0.2500, 0.7500], [0.2500, 0.7500, 0.2500], [0.7500, 0.2500, 0.2500], [0.7500, 0.7500, 0.7500], [0.0000, 0.0000, 0.5000], [0.0000, 0.5000, 0.0000], [0.2500, 0.2500, 0.2500], [0.2500, 0.7500, 0.7500], [0.5000, 0.0000, 0.0000], [0.5000, 0.5000, 0.5000], [0.7500, 0.2500, 0.7500], [0.7500, 0.7500, 0.2500]]
}